# 1
! TlSi3Ag, single point on PBEsol structure, DFT SCAN; values from VASP
&SYSTEM
  ibrav = 0, nat = 5, ntyp = 3
/
ATOMIC_SPECIES
Ag 107.87 Ag.upf
Tl 204.38 Tl.upf
Si 28.09 Si.upf
CELL_PARAMETERS angstrom
4.852 0.000 0.000
0.000 4.852 0.000
0.000 0.000 4.852
ATOMIC_POSITIONS crystal
Ag 0.000 0.000 0.000
Tl 0.500 0.500 0.500
Si 0.000 0.500 0.000
Si 0.500 0.000 0.000
Si 0.000 0.000 0.500
! * formation energy from raw total energies: 1125 meV/atom
! * Fermi-level density of states: 2.59 states/eV/f.u.



# 2
! Ca4H12Rh3, single point on PBEsol structure, DFT SCAN; values from VASP
&SYSTEM
  ibrav = 0, nat = 19, ntyp = 3
/
ATOMIC_SPECIES
H 1.01 H.upf
Rh 102.91 Rh.upf
Ca 40.08 Ca.upf
CELL_PARAMETERS angstrom
6.214 0.000 0.000
-2.071 5.859 0.000
-2.071 -2.929 5.074
ATOMIC_POSITIONS crystal
H 0.737 0.000 0.737
H 0.500 0.250 0.750
H 0.737 0.737 0.000
H 0.263 0.263 0.000
H 0.250 0.750 0.500
H 0.500 0.750 0.250
H 0.000 0.263 0.263
H 0.250 0.500 0.750
H 0.750 0.250 0.500
H 0.263 0.000 0.263
H 0.750 0.500 0.250
H 0.000 0.737 0.737
Rh 0.500 0.500 0.000
Rh 0.000 0.500 0.500
Rh 0.500 0.000 0.500
Ca 0.500 0.000 0.000
Ca 0.500 0.500 0.500
Ca 0.000 0.000 0.500
Ca 0.000 0.500 0.000
! * Fermi-level density of states: 3.48 states/eV/f.u.
! * uncorrected energy: -194.44 eV per formula unit



# 3
! In9Sn4S17, single point on PBEsol structure, DFT SCAN; values from VASP
&SYSTEM
  ibrav = 0, nat = 60, ntyp = 3
/
ATOMIC_SPECIES
Sn 118.71 Sn.upf
S 32.06 S.upf
In 114.82 In.upf
CELL_PARAMETERS angstrom
-3.745 -0.648 0.233
2.452 -14.813 -1.776
1.791 -2.363 22.180
ATOMIC_POSITIONS crystal
Sn 0.500 0.787 0.433
Sn 0.500 0.287 0.067
Sn 0.500 0.402 0.219
Sn 0.500 0.902 0.281
Sn 0.500 0.598 0.781
Sn 0.500 0.213 0.567
Sn 0.500 0.098 0.719
Sn 0.500 0.713 0.933
S 0.000 0.788 0.537
S 0.500 0.000 0.500
S 0.500 0.500 0.000
S 0.000 0.483 0.712
S 0.500 0.068 0.934
S 0.000 0.393 0.130
S 0.000 0.365 0.572
S 0.000 0.288 0.963
S 0.000 0.135 0.072
S 0.500 0.279 0.693
S 0.000 0.017 0.212
S 0.500 0.102 0.343
S 0.500 0.568 0.566
S 0.500 0.779 0.807
S 0.500 0.221 0.193
S 0.000 0.812 0.182
S 0.000 0.188 0.818
S 0.000 0.517 0.288
S 0.000 0.983 0.788
S 0.000 0.607 0.870
S 0.000 0.107 0.630
S 0.000 0.212 0.463
S 0.500 0.898 0.657
S 0.000 0.312 0.318
S 0.500 0.932 0.066
S 0.000 0.635 0.428
S 0.500 0.721 0.307
S 0.500 0.398 0.843
S 0.000 0.893 0.370
S 0.000 0.865 0.928
S 0.000 0.712 0.037
S 0.500 0.432 0.434
S 0.500 0.602 0.157
S 0.000 0.688 0.682
In 0.000 0.167 0.262
In 0.000 0.333 0.762
In 0.000 0.049 0.422
In 0.000 0.833 0.738
In 0.500 0.232 0.891
In 0.500 0.268 0.391
In 0.000 0.667 0.238
In 0.000 0.451 0.922
In 0.000 0.000 0.000
In 0.500 0.436 0.638
In 0.500 0.936 0.862
In 0.000 0.549 0.078
In 0.000 0.951 0.578
In 0.500 0.732 0.609
In 0.500 0.768 0.109
In 0.500 0.564 0.362
In 0.500 0.064 0.138
In 0.000 0.500 0.500
! * formation energy from raw total energies: -577 meV/atom
! * Fermi-level density of states: 3.06 states/eV/f.u.



# 4
! KSc2Os, single point on PBEsol structure, DFT SCAN; values from VASP
&SYSTEM
  ibrav = 0, nat = 4, ntyp = 3
/
ATOMIC_SPECIES
Sc 44.96 Sc.upf
K 39.10 K.upf
Os 190.23 Os.upf
CELL_PARAMETERS angstrom
3.454 0.000 0.000
0.000 4.814 0.005
0.000 -0.114 4.812
ATOMIC_POSITIONS crystal
Sc 0.000 0.500 0.000
Sc 0.000 0.000 0.500
K 0.500 0.000 0.000
Os 0.500 0.500 0.500
! * excess energy over the best structure of this formula in the dataset: 876 meV per atom
! * Fermi-level density of states: 4.17 states/eV/f.u.



# 5
! BaRuRh, single point on PBEsol structure, DFT SCAN; values from VASP
&SYSTEM
  ibrav = 0, nat = 3, ntyp = 3
/
ATOMIC_SPECIES
Ru 101.07 Ru.upf
Ba 137.33 Ba.upf
Rh 102.91 Rh.upf
CELL_PARAMETERS angstrom
4.640 0.000 0.000
2.320 4.018 0.000
2.320 1.339 3.789
ATOMIC_POSITIONS crystal
Ru 0.000 0.000 0.000
Ba 0.500 0.500 0.500
Rh 0.750 0.750 0.750
! * Fermi-level density of states: 1.43 states/eV/f.u.
! * uncorrected energy: -105.46 eV per formula unit



# 6
! Rb2Nb2Pb, single point on PBEsol structure, DFT SCAN; values from VASP
&SYSTEM
  ibrav = 0, nat = 5, ntyp = 3
/
ATOMIC_SPECIES
Nb 92.91 Nb.upf
Rb 85.47 Rb.upf
Pb 207.20 Pb.upf
CELL_PARAMETERS angstrom
-1.679 -3.967 0.281
2.879 -1.002 3.057
-5.774 5.080 4.055
ATOMIC_POSITIONS crystal
Nb 0.567 0.567 0.133
Nb 0.433 0.433 0.867
Rb 0.750 0.250 0.500
Rb 0.250 0.750 0.500
Pb 0.000 0.000 0.000
! * Fermi-level density of states: 4.67 states/eV/f.u.
! * uncorrected energy: -177.87 eV per formula unit



# 7
! NbCrGa3, single point on PBEsol structure, DFT SCAN; values from VASP
&SYSTEM
  ibrav = 0, nat = 5, ntyp = 3
/
ATOMIC_SPECIES
Cr 52.00 Cr.upf
Ga 69.72 Ga.upf
Nb 92.91 Nb.upf
CELL_PARAMETERS angstrom
4.902 0.000 0.000
0.000 4.902 0.000
0.000 0.000 4.902
ATOMIC_POSITIONS crystal
Cr 0.500 0.500 0.500
Ga 0.000 0.500 0.000
Ga 0.000 0.000 0.500
Ga 0.500 0.000 0.000
Nb 0.000 0.000 0.000
! * Fermi-level density of states: 2.24 states/eV/f.u.
! * uncorrected energy: -97.24 eV per formula unit



# 8
! ErSiPd, single point on PBEsol structure, DFT SCAN; values from VASP
&SYSTEM
  ibrav = 0, nat = 6, ntyp = 3
/
ATOMIC_SPECIES
Si 28.09 Si.upf
Pd 106.42 Pd.upf
Er 167.26 Er.upf
CELL_PARAMETERS angstrom
-3.808 -1.160 -1.306
0.081 -4.798 -2.692
-2.455 -3.434 3.490
ATOMIC_POSITIONS crystal
Si 0.846 0.100 0.209
Si 0.154 0.900 0.791
Pd 0.819 0.742 0.620
Pd 0.181 0.258 0.380
Er 0.449 0.312 0.791
Er 0.551 0.688 0.209
! * formation energy from raw total energies: -1024 meV/atom
! * Fermi-level density of states: 1.18 states/eV/f.u.



# 9
! Al2TlTe2, single point on PBEsol structure, DFT SCAN; values from VASP
&SYSTEM
  ibrav = 0, nat = 5, ntyp = 3
/
ATOMIC_SPECIES
Te 127.60 Te.upf
Al 26.98 Al.upf
Tl 204.38 Tl.upf
CELL_PARAMETERS angstrom
-2.828 -1.773 -4.181
-2.673 -0.151 5.294
-3.718 3.732 0.932
ATOMIC_POSITIONS crystal
Te 0.750 0.500 0.750
Te 0.250 0.500 0.250
Al 0.357 0.715 0.643
Al 0.643 0.285 0.357
Tl 0.000 0.000 0.000
! * formation energy from raw total energies: -180 meV/atom
! * Fermi-level density of states: 0.89 states/eV/f.u.



# 10
! SrTl2Tc, single point on PBEsol structure, DFT SCAN; values from VASP
&SYSTEM
  ibrav = 0, nat = 4, ntyp = 3
/
ATOMIC_SPECIES
Sr 87.62 Sr.upf
Tl 204.38 Tl.upf
Tc 98.00 Tc.upf
CELL_PARAMETERS angstrom
-2.956 1.365 1.643
-1.738 0.093 -3.204
-2.609 -7.105 1.209
ATOMIC_POSITIONS crystal
Sr 0.000 0.000 0.530
Tl 0.000 0.000 0.941
Tl 0.500 0.500 0.204
Tc 0.500 0.500 0.825
! * excess energy over the best structure of this formula in the dataset: 163 meV per atom
! * Fermi-level density of states: 2.94 states/eV/f.u.



# 11
! CaMoCl3, single point on PBEsol structure, DFT SCAN; values from VASP
&SYSTEM
  ibrav = 0, nat = 5, ntyp = 3
/
ATOMIC_SPECIES
Cl 35.45 Cl.upf
Mo 95.94 Mo.upf
Ca 40.08 Ca.upf
CELL_PARAMETERS angstrom
-4.264 -2.190 -2.006
2.951 -3.519 -2.431
-0.334 -3.134 4.131
ATOMIC_POSITIONS crystal
Cl 0.500 0.000 0.000
Cl 0.000 0.000 0.500
Cl 0.000 0.500 0.000
Mo 0.500 0.500 0.500
Ca 0.000 0.000 0.000
! * formation energy from raw total energies: -929 meV/atom
! * Fermi-level density of states: 6.83 states/eV/f.u.



# 12
! NaAuSe2, single point on PBEsol structure, DFT SCAN; values from VASP
&SYSTEM
  ibrav = 0, nat = 4, ntyp = 3
/
ATOMIC_SPECIES
Na 22.99 Na.upf
Au 196.97 Au.upf
Se 78.96 Se.upf
CELL_PARAMETERS angstrom
-3.972 -2.610 0.687
0.204 -4.054 2.567
-2.024 -0.192 4.351
ATOMIC_POSITIONS crystal
Na 0.000 0.000 0.000
Au 0.500 0.500 0.500
Se 0.250 0.250 0.250
Se 0.750 0.750 0.750
! * formation energy from raw total energies: -23 meV/atom
! * Fermi-level density of states: 3.88 states/eV/f.u.